(1)
Here is a geometry-optimized GdScCuRu structure from Alexandria via LeMat-Bulk. Energies are from GGA-PBE.

Computed properties:
SG	F-43m (216)
formation energy	-1.32	eV per formula unit
electronic total energy	-140.43	eV for the cell shown
D(E_F)	0.70	states/eV per atom
ρ	8.1	g/cm3

Cell lengths 6.709, 6.709, 6.709 Å; angles 90.00, 90.00, 90.00 degrees
Fractional positions:
Gd1 0.000 0.000 0.000
Gd2 0.000 0.500 0.500
Gd3 0.500 0.000 0.500
Gd4 0.500 0.500 0.000
Sc1 0.000 0.000 0.500
Sc2 0.000 0.500 0.000
Sc3 0.500 0.000 0.000
Sc4 0.500 0.500 0.500
Cu1 0.250 0.250 0.250
Cu2 0.250 0.750 0.750
Cu3 0.750 0.250 0.750
Cu4 0.750 0.750 0.250
Ru1 0.250 0.250 0.750
Ru2 0.250 0.750 0.250
Ru3 0.750 0.250 0.250
Ru4 0.750 0.750 0.750

(2)
Here is a geometry-optimized BaS3Cl structure from Alexandria via LeMat-Bulk. Energies are from GGA-PBE.

Computed properties:
E_form (uncorrected)	0.46	eV/atom
polymorph energy (0 for the lowest one)	691	meV per atom
SG	Pm-3m (221)
electronic total energy	-13.87	eV for the cell shown
D(E_F)	4.31	states/eV per atom
ρ	1.9	g/cm3

Cell lengths 6.222, 6.222, 6.222 Å; angles 90.00, 90.00, 90.00 degrees
Fractional positions:
Ba1 0.000 0.000 0.000
S1 0.000 0.000 0.500
S2 0.000 0.500 0.000
S3 0.500 0.000 0.000
Cl1 0.500 0.500 0.500

(3)
Here is a geometry-optimized TiAsPtSe2 structure from Alexandria via LeMat-Bulk. Energies are from GGA-PBE.

Computed properties:
E_form (uncorrected)	0.49	eV/atom
polymorph energy (0 for the lowest one)	151	meV per atom
SG	P4/mmm (123)
electronic total energy	-23.09	eV for the cell shown
D(E_F)	1.17	states/eV per atom
ρ	6.7	g/cm3

Cell lengths 4.999, 4.999, 4.745 Å; angles 90.00, 90.00, 90.00 degrees
Fractional positions:
Ti1 0.000 0.000 0.000
As1 0.500 0.500 0.000
Pt1 0.500 0.500 0.500
Se1 0.000 0.500 0.500
Se2 0.500 0.000 0.500

(4)
Here is a geometry-optimized Rb2HgAs2S6 structure from Alexandria via LeMat-Bulk. Energies are from GGA-PBE.

Computed properties:
E_form (uncorrected)	-0.41	eV/atom
SG	C2/m (12)
electronic total energy	-40.76	eV for the cell shown
D(E_F)	0.09	states/eV per atom
ρ	3.6	g/cm3

Cell lengths 7.435, 7.435, 7.705 Å; angles 108.39, 108.39, 56.13 degrees
Fractional positions:
Rb1 0.206 0.206 0.205
Rb2 0.794 0.794 0.795
Hg1 0.000 0.000 0.500
As1 0.475 0.475 0.817
As2 0.525 0.525 0.183
S1 0.177 0.698 0.212
S2 0.302 0.823 0.788
S3 0.303 0.303 0.687
S4 0.697 0.697 0.313
S5 0.698 0.177 0.212
S6 0.823 0.302 0.788

(5)
Here is a geometry-optimized BaB2O2 structure from Alexandria via LeMat-Bulk. Energies are from GGA-PBE.

Computed properties:
E_form (uncorrected)	0.17	eV/atom
polymorph energy (0 for the lowest one)	0	meV per atom
SG	I4/mmm (139)
electronic total energy	-48.68	eV for the cell shown
D(E_F)	0.65	states/eV per atom
ρ	5.3	g/cm3

Cell lengths 4.020, 4.020, 7.471 Å; angles 90.00, 90.00, 90.00 degrees
Fractional positions:
Ba1 0.000 0.000 0.000
Ba2 0.500 0.500 0.500
B1 0.000 0.000 0.387
B2 0.000 0.000 0.613
B3 0.500 0.500 0.113
B4 0.500 0.500 0.887
O1 0.000 0.500 0.250
O2 0.000 0.500 0.750
O3 0.500 0.000 0.250
O4 0.500 0.000 0.750

(6)
Here is a geometry-optimized NpInSn structure from Alexandria via LeMat-Bulk. Energies are from GGA-PBE.

Computed properties:
polymorph energy (0 for the lowest one)	403	meV per atom
SG	Cccm (66)
formation energy	1.37	eV per formula unit
electronic total energy	-73.26	eV for the cell shown
D(E_F)	3.94	states/eV per atom
ρ	8.3	g/cm3

Cell lengths 6.320, 6.404, 9.260 Å; angles 90.00, 90.00, 90.00 degrees
Fractional positions:
Np1 0.250 0.250 0.000
Np2 0.250 0.750 0.500
Np3 0.750 0.250 0.500
Np4 0.750 0.750 0.000
In1 0.000 0.000 0.250
In2 0.000 0.000 0.750
In3 0.500 0.500 0.250
In4 0.500 0.500 0.750
Sn1 0.000 0.500 0.250
Sn2 0.000 0.500 0.750
Sn3 0.500 0.000 0.250
Sn4 0.500 0.000 0.750

(7)
Here is a geometry-optimized SmThBi2 structure from Alexandria via LeMat-Bulk. Energies are from GGA-PBE.

Computed properties:
polymorph energy (0 for the lowest one)	157	meV per atom
SG	P4/mmm (123)
formation energy	-2.39	eV per formula unit
electronic total energy	-22.29	eV for the cell shown
D(E_F)	0.96	states/eV per atom
ρ	10.9	g/cm3

Cell lengths 5.803, 5.803, 3.615 Å; angles 90.00, 90.00, 90.00 degrees
Fractional positions:
Sm1 0.000 0.000 0.000
Th1 0.500 0.500 0.000
Bi1 0.000 0.500 0.500
Bi2 0.500 0.000 0.500

(8)
Here is a geometry-optimized CsLaGe2 structure from Alexandria via LeMat-Bulk. Energies are from GGA-PBE.

Computed properties:
polymorph energy (0 for the lowest one)	0	meV per atom
SG	Fm-3m (225)
formation energy	0.46	eV per formula unit
electronic total energy	-58.23	eV for the cell shown
D(E_F)	0.64	states/eV per atom
ρ	5.6	g/cm3

Cell lengths 7.923, 7.923, 7.923 Å; angles 90.00, 90.00, 90.00 degrees
Fractional positions:
Cs1 0.000 0.000 0.000
Cs2 0.000 0.500 0.500
Cs3 0.500 0.000 0.500
Cs4 0.500 0.500 0.000
La1 0.000 0.000 0.500
La2 0.000 0.500 0.000
La3 0.500 0.000 0.000
La4 0.500 0.500 0.500
Ge1 0.250 0.250 0.250
Ge2 0.250 0.250 0.750
Ge3 0.250 0.750 0.250
Ge4 0.250 0.750 0.750
Ge5 0.750 0.250 0.250
Ge6 0.750 0.250 0.750
Ge7 0.750 0.750 0.250
Ge8 0.750 0.750 0.750

(9)
Here is a geometry-optimized Dy7Cu2Ni2 structure from Alexandria via LeMat-Bulk. Energies are from GGA-PBE.

Computed properties:
SG	Cmmm (65)
formation energy	-0.75	eV per formula unit
electronic total energy	-52.72	eV for the cell shown
D(E_F)	1.12	states/eV per atom
ρ	8.3	g/cm3

Cell lengths 6.575, 6.575, 6.876 Å; angles 90.00, 90.00, 111.74 degrees
Fractional positions:
Dy1 0.000 0.000 0.000
Dy2 0.000 0.500 0.259
Dy3 0.000 0.500 0.741
Dy4 0.500 0.000 0.259
Dy5 0.500 0.000 0.741
Dy6 0.500 0.500 0.253
Dy7 0.500 0.500 0.747
Cu1 0.169 0.169 0.500
Cu2 0.831 0.831 0.500
Ni1 0.298 0.702 0.000
Ni2 0.702 0.298 0.000

(10)
Here is a geometry-optimized LaAsW2 structure from Alexandria via LeMat-Bulk. Energies are from GGA-PBE.

Computed properties:
SG	P4mm (99)
formation energy	0.08	eV per formula unit
electronic total energy	-35.40	eV for the cell shown
D(E_F)	0.70	states/eV per atom
ρ	12.0	g/cm3

Cell lengths 3.285, 3.285, 7.426 Å; angles 90.00, 90.00, 90.00 degrees
Fractional positions:
La1 0.000 0.000 0.000
As1 0.500 0.500 0.683
W1 0.000 0.000 0.492
W2 0.500 0.500 0.301

(11)
Here is a geometry-optimized PmPr3Ho7 structure from Alexandria via LeMat-Bulk. Energies are from GGA-PBE.

Computed properties:
polymorph energy (0 for the lowest one)	54	meV per atom
SG	P3m1 (156)
formation energy	1.93	eV per formula unit
electronic total energy	-49.21	eV for the cell shown
D(E_F)	1.53	states/eV per atom
ρ	7.5	g/cm3

Cell lengths 7.085, 7.085, 8.743 Å; angles 90.00, 90.00, 120.00 degrees
Fractional positions:
Pm1 0.000 0.000 0.000
Pr1 0.167 0.334 0.659
Pr2 0.167 0.833 0.659
Pr3 0.666 0.833 0.659
Ho1 0.002 0.501 0.000
Ho2 0.332 0.166 0.322
Ho3 0.333 0.667 0.320
Ho4 0.499 0.501 0.000
Ho5 0.499 0.998 0.000
Ho6 0.834 0.166 0.322
Ho7 0.834 0.668 0.322

(12)
Here is a geometry-optimized HoSnPd structure from Alexandria via LeMat-Bulk. Energies are from GGA-PBE.

Computed properties:
SG	Pnma (62)
formation energy	-2.74	eV per formula unit
electronic total energy	-66.05	eV for the cell shown
D(E_F)	0.46	states/eV per atom
ρ	9.8	g/cm3

Cell lengths 7.181, 4.639, 7.955 Å; angles 90.00, 90.00, 90.00 degrees
Fractional positions:
Ho1 0.009 0.250 0.206
Ho2 0.491 0.750 0.706
Ho3 0.509 0.250 0.294
Ho4 0.991 0.750 0.794
Sn1 0.194 0.250 0.588
Sn2 0.306 0.750 0.088
Sn3 0.694 0.250 0.912
Sn4 0.806 0.750 0.412
Pd1 0.207 0.750 0.417
Pd2 0.293 0.250 0.917
Pd3 0.707 0.750 0.083
Pd4 0.793 0.250 0.583

(13)
Here is a geometry-optimized LiNi2P2 structure from Alexandria via LeMat-Bulk. Energies are from GGA-PBE.

Computed properties:
SG	Fmmm (69)
formation energy	-3.01	eV per formula unit
electronic total energy	-27.30	eV for the cell shown
D(E_F)	0.52	states/eV per atom
ρ	4.7	g/cm3

Cell lengths 5.293, 5.285, 3.788 Å; angles 69.13, 68.90, 41.97 degrees
Fractional positions:
Li1 0.000 0.000 0.000
Ni1 0.250 0.250 0.250
Ni2 0.750 0.750 0.750
P1 0.381 0.381 0.619
P2 0.619 0.619 0.381

(14)
Here is a geometry-optimized Y2MgRu structure from Alexandria via LeMat-Bulk. Energies are from GGA-PBE.

Computed properties:
SG	P4/mmm (123)
formation energy	-0.56	eV per formula unit
electronic total energy	-24.36	eV for the cell shown
D(E_F)	0.90	states/eV per atom
ρ	5.6	g/cm3

Cell lengths 4.970, 4.970, 3.670 Å; angles 90.00, 90.00, 90.00 degrees
Fractional positions:
Y1 0.000 0.500 0.000
Y2 0.500 0.000 0.000
Mg1 0.000 0.000 0.500
Ru1 0.500 0.500 0.500